Li8AcPd4: relaxed, GGA-PBE.

N(E_F) = 5.47 states/eV/cell
E = -0.1276 hartree per atom

Cell lengths 8.888, 8.888, 5.596 Å; angles 90.00, 90.00, 90.00 degrees
Space group I4/mmm (No. 139)
Unique sites:
1 Li 0.000 0.230 0.000 [8 per cell]
2 Li 0.000 0.351 0.500 [8 per cell]
3 Ac 0.000 0.000 0.500 [2 per cell]
4 Pd 0.250 0.250 0.250 [8 per cell]